{"formula": "Cu2Pd3Pt4", "functional": "PBE", "state": "optimized geometry", "lattice_angstrom": [[-1.086, 0.605, -2.440], [-7.675, -1.374, 1.538], [-5.249, 5.556, 2.177]], "species": ["Cu", "Cu", "Pd", "Pd", "Pd", "Pt", "Pt", "Pt", "Pt"], "fractional_positions": [[0.000, 0.821, 0.179], [0.000, 0.179, 0.821], [0.170, 0.330, 0.330], [0.500, 0.500, 0.500], [0.830, 0.670, 0.670], [0.341, 0.341, 0.978], [0.659, 0.022, 0.659], [0.659, 0.659, 0.022], [0.341, 0.978, 0.341]], "volume_a3_per_atom": 15.49, "final_energy_ev_per_cell": -47.30, "total_magnetization_mub_per_cell": 0.000}

=====

{"formula": "NaAsSe2Br", "functional": "PBE", "state": "optimized geometry", "lattice_angstrom": [[5.405, 0.000, 0.000], [0.000, 5.405, 0.000], [0.000, 0.000, 5.182]], "species": ["Na", "As", "Se", "Se", "Br"], "fractional_positions": [[0.500, 0.500, 0.500], [0.000, 0.000, 0.500], [0.000, 0.500, 0.000], [0.500, 0.000, 0.000], [0.000, 0.000, 0.000]], "volume_a3_per_atom": 30.28, "final_energy_ev_per_cell": -11.98, "total_magnetization_mub_per_cell": 2.031}

=====

{"formula": "Mg2AlSe", "functional": "PBE", "state": "optimized geometry", "lattice_angstrom": [[-3.369, -7.238, -0.755], [0.085, -7.827, -1.747], [-0.812, -7.777, 1.782]], "species": ["Al", "Mg", "Mg", "Se"], "fractional_positions": [[0.750, 0.750, 0.750], [0.988, 0.988, 0.988], [0.512, 0.512, 0.512], [0.250, 0.250, 0.250]], "volume_a3_per_atom": 22.22, "final_energy_ev_per_cell": -12.00, "total_magnetization_mub_per_cell": 0.000}

=====

{"formula": "DyTmSnIr", "functional": "PBE", "state": "optimized geometry", "lattice_angstrom": [[5.053, 0.000, 0.000], [2.526, 4.376, 0.000], [2.526, 1.459, 4.125]], "species": ["Ir", "Tm", "Sn", "Dy"], "fractional_positions": [[0.750, 0.750, 0.750], [0.500, 0.500, 0.500], [0.250, 0.250, 0.250], [0.000, 0.000, 0.000]], "volume_a3_per_atom": 22.80, "final_energy_ev_per_cell": -24.42, "total_magnetization_mub_per_cell": 0.000}

=====

{"formula": "GaBr2N", "functional": "PBE", "state": "optimized geometry", "lattice_angstrom": [[6.830, 0.000, 0.000], [0.000, 6.830, 0.000], [3.415, 3.415, 4.820]], "species": ["Ga", "Ga", "Br", "Br", "Br", "Br", "N", "N"], "fractional_positions": [[0.000, 0.000, 0.000], [0.750, 0.250, 0.500], [0.375, 0.125, 0.250], [0.375, 0.625, 0.250], [0.375, 0.625, 0.750], [0.875, 0.625, 0.750], [0.500, 0.500, 0.000], [0.250, 0.750, 0.500]], "volume_a3_per_atom": 28.10, "final_energy_ev_per_cell": -22.83, "total_magnetization_mub_per_cell": 0.000}

=====

{"formula": "LiCeScAg", "functional": "PBE", "state": "optimized geometry", "lattice_angstrom": [[-3.631, 1.999, -2.955], [-4.546, 1.152, 1.980], [-1.362, 4.870, 0.584]], "species": ["Sc", "Ag", "Ce", "Li"], "fractional_positions": [[0.500, 0.500, 0.500], [0.750, 0.750, 0.750], [0.000, 0.000, 0.000], [0.250, 0.250, 0.250]], "volume_a3_per_atom": 23.31, "final_energy_ev_per_cell": -16.76, "total_magnetization_mub_per_cell": 1.217}

=====

{"formula": "CaGdLuTl", "functional": "PBE", "state": "optimized geometry", "lattice_angstrom": [[-4.872, 2.265, -1.333], [-1.419, 0.582, -5.319], [-4.017, -3.143, -2.153]], "species": ["Gd", "Tl", "Lu", "Ca"], "fractional_positions": [[0.250, 0.250, 0.250], [0.000, 0.000, 0.000], [0.500, 0.500, 0.500], [0.750, 0.750, 0.750]], "volume_a3_per_atom": 29.99, "final_energy_ev_per_cell": -23.07, "total_magnetization_mub_per_cell": 7.560}

=====

{"formula": "Bi2SBr3", "functional": "PBE", "state": "optimized geometry", "lattice_angstrom": [[4.236, 0.000, 0.000], [2.118, 9.270, 0.669], [2.118, 2.867, 11.020]], "species": ["Bi", "Bi", "Bi", "Bi", "S", "S", "Br", "Br", "Br", "Br", "Br", "Br"], "fractional_positions": [[0.867, 0.443, 0.824], [0.133, 0.557, 0.176], [0.605, 0.245, 0.546], [0.395, 0.755, 0.454], [0.432, 0.479, 0.656], [0.568, 0.521, 0.344], [0.071, 0.125, 0.734], [0.929, 0.875, 0.266], [0.668, 0.679, 0.985], [0.332, 0.321, 0.015], [0.783, 0.822, 0.612], [0.217, 0.178, 0.388]], "volume_a3_per_atom": 35.38, "final_energy_ev_per_cell": -39.33, "total_magnetization_mub_per_cell": 0.000}

=====

{"formula": "DyPaSn2O8", "functional": "PBE", "state": "optimized geometry", "lattice_angstrom": [[6.161, 0.284, 0.000], [-2.478, 5.648, 0.000], [-1.842, -2.966, 5.084]], "species": ["Dy", "Pa", "Sn", "Sn", "O", "O", "O", "O", "O", "O", "O", "O"], "fractional_positions": [[0.000, 0.000, 0.000], [0.250, 0.750, 0.500], [0.750, 0.250, 0.500], [0.500, 0.500, 0.000], [0.357, 0.042, 0.315], [0.301, 0.495, 0.194], [0.301, 0.108, 0.806], [0.727, 0.042, 0.685], [0.892, 0.699, 0.194], [0.958, 0.273, 0.315], [0.958, 0.643, 0.685], [0.505, 0.699, 0.806]], "volume_a3_per_atom": 15.04, "final_energy_ev_per_cell": -91.33, "total_magnetization_mub_per_cell": 0.000}

=====

{"formula": "GaAg8Te6", "functional": "PBE", "state": "optimized geometry", "lattice_angstrom": [[-3.479, -0.795, -7.598], [-5.449, -5.711, 3.093], [-7.396, 8.414, 2.506]], "species": ["Ga", "Ga", "Ag", "Ag", "Ag", "Ag", "Ag", "Ag", "Ag", "Ag", "Ag", "Ag", "Ag", "Ag", "Ag", "Ag", "Ag", "Ag", "Te", "Te", "Te", "Te", "Te", "Te", "Te", "Te", "Te", "Te", "Te", "Te"], "fractional_positions": [[0.731, 0.000, 0.480], [0.269, 0.500, 0.980], [0.390, 0.000, 0.967], [0.610, 0.500, 0.467], [0.906, 0.779, 0.128], [0.094, 0.721, 0.628], [0.094, 0.279, 0.628], [0.906, 0.221, 0.128], [0.505, 0.821, 0.759], [0.495, 0.679, 0.259], [0.495, 0.321, 0.259], [0.505, 0.179, 0.759], [0.852, 0.781, 0.847], [0.148, 0.719, 0.347], [0.148, 0.281, 0.347], [0.852, 0.219, 0.847], [0.236, 0.000, 0.501], [0.764, 0.500, 0.001], [0.724, 0.000, 0.995], [0.276, 0.500, 0.495], [0.217, 0.000, 0.744], [0.783, 0.500, 0.244], [0.972, 0.000, 0.332], [0.028, 0.500, 0.832], [0.486, 0.000, 0.344], [0.514, 0.500, 0.844], [0.246, 0.756, 0.102], [0.754, 0.744, 0.602], [0.754, 0.256, 0.602], [0.246, 0.244, 0.102]], "volume_a3_per_atom": 27.23, "final_energy_ev_per_cell": -91.79, "total_magnetization_mub_per_cell": 0.000}